Compound: TmSiAg
Source: OQMD via LeMat-Bulk
Functional: PBE
Structure: optimized geometry

Values from the calculation:
The value obtained for the volume is 66 Å³ per cell. The calculation puts the calculated total energy at -4.636 eV per atom.

abc: 4.5431 4.5431 4.5431
angles: 60.00 60.00 60.00
Element x y z (fractional)
Si (0.0000, 0.0000, 0.0000)
Ag (0.2500, 0.2500, 0.2500)
Tm (0.7500, 0.7500, 0.7500)